A plane-wave DFT calculation with GGA-PBEsol was carried out for an optimized crystal structure of MnCrAs.

```
MnCrAs
1.0
5.4086 0.0000 0.0000
0.0000 5.4086 0.0000
0.0000 0.0000 5.4086
Mn Cr As
4 4 4
Cartesian
0.0000 0.0000 0.0000 Mn
0.0000 2.7043 2.7043 Mn
2.7043 0.0000 2.7043 Mn
2.7043 2.7043 0.0000 Mn
1.3522 1.3522 1.3522 Cr
1.3522 4.0565 4.0565 Cr
4.0565 1.3522 4.0565 Cr
4.0565 4.0565 1.3522 Cr
1.3522 1.3522 4.0565 As
1.3522 4.0565 1.3522 As
4.0565 1.3522 1.3522 As
4.0565 4.0565 4.0565 As
```

calculated formation energy	-0.10	eV/atom
ρ	7.6	g/cm³
space group	F-43m (216)

A plane-wave DFT calculation with GGA-PBEsol was carried out for an optimized crystal structure of Mn2CrAs.

```
Mn2CrAs
1.0
5.6977 0.0000 0.0000
0.0000 5.6977 0.0000
0.0000 0.0000 5.6977
Mn Cr As
8 4 4
Cartesian
0.0000 0.0000 0.0000 Mn
0.0000 2.8488 2.8488 Mn
1.4244 1.4244 1.4244 Mn
1.4244 4.2733 4.2733 Mn
2.8488 0.0000 2.8488 Mn
2.8488 2.8488 0.0000 Mn
4.2733 1.4244 4.2733 Mn
4.2733 4.2733 1.4244 Mn
1.4244 1.4244 4.2733 Cr
1.4244 4.2733 1.4244 Cr
4.2733 1.4244 1.4244 Cr
4.2733 4.2733 4.2733 Cr
0.0000 0.0000 2.8488 As
0.0000 2.8488 0.0000 As
2.8488 0.0000 0.0000 As
2.8488 2.8488 2.8488 As
```

calculated formation energy	-0.04	eV/atom
ρ	8.5	g/cm³
space group	F-43m (216)

A plane-wave DFT calculation with GGA-PBEsol was carried out for an optimized crystal structure of Mn3CrAs4.

```
Mn3CrAs4
1.0
5.4880 0.0000 0.0000
0.0000 3.3050 0.0000
-0.0261 0.0000 6.0340
Mn Cr As
3 1 4
Cartesian
0.0000 0.0000 0.0000 Mn
0.0274 1.6525 3.7098 Mn
2.7716 1.6525 3.0243 Mn
2.7371 0.0000 0.6905 Cr
1.0767 1.6525 1.4046 As
1.6741 0.0000 4.4181 As
3.8296 1.6525 5.3260 As
4.4226 0.0000 2.3244 As
```

calculated formation energy	-0.27	eV/atom
ρ	7.8	g/cm³
space group	Pm (6)

A plane-wave DFT calculation with GGA-PBEsol was carried out for an optimized crystal structure of MnCr2SiAs.

```
MnCr2SiAs
1.0
4.4590 0.0000 0.0000
0.0000 4.4590 0.0000
0.0000 0.0000 4.7359
Mn Cr Si As
1 2 1 1
Cartesian
0.0000 0.0000 0.0000 Mn
0.0000 2.2295 2.3680 Cr
2.2295 0.0000 2.3680 Cr
2.2295 2.2295 2.3680 Si
2.2295 2.2295 0.0000 As
```

ρ	4.6	g/cm³
electronic total energy	-6.99	eV per atom
space group	P4/mmm (123)